VASP calculation (PBE) on a geometry-optimized SmSn2Bi structure.

* offset from the most stable computed form: 0.0000 eV per atom
* formation energy: -0.429 eV per atom
* D(E_F): 0.7198 states/eV/atom
* E: -18.3 eV for the cell shown

Unit cell a=4.788 b=4.788 c=4.944 alpha=90.00 beta=90.00 gamma=90.00
Space group P4/mmm (No. 123)
Symmetry-distinct sites (fractional):
Sm1 0.000 0.000 0.000
Sn1 0.000 0.500 0.500
Bi1 0.500 0.500 0.000